Density functional theory data (GGA+U) for crystalline Na2TbCoF8 at its relaxed geometry.

abc: 4.8693 6.7611 5.2685
angles: 90.00 90.98 90.00
Last column: nearest neighbours and their distance in Å.
Positions (direct):
Na1 0.0000 0.2391 0.0000  6 F 2.26-2.37
Na2 0.0000 0.7609 0.0000  6 F 2.26-2.37
Tb1 0.5000 0.5000 0.5000  6 F 2.15-2.26
Co1 0.5000 0.0000 0.5000  6 F 1.83-2.02
F1 0.1810 0.5000 0.2135  1 Tb 2.15, 2 Na 2.26
F2 0.2301 0.0000 0.2534  1 Co 1.83
F3 0.3208 0.2273 0.6822  1 Co 2.02
F4 0.3208 0.7727 0.6822  1 Co 2.02
F5 0.6792 0.2273 0.3178  1 Co 2.02
F6 0.6792 0.7727 0.3178  1 Co 2.02
F7 0.7699 0.0000 0.7466  1 Co 1.83
F8 0.8190 0.5000 0.7865  1 Tb 2.15, 2 Na 2.26

## Properties
VASP energy: -5.223 eV/atom
symmetry: P2/m
crystal system: monoclinic